Computed, not measured: a relaxed Mn2GeO4 crystal at the GGA+U level of DFT.

The value obtained for the density of states at the Fermi level is 0.4 states/eV per cell. For the energy above the most stable polymorph in this dataset, the calculation gives 0.18 eV per formula unit. The calculation puts the total magnetization at 40.0 μB/cell. The raw total energy is -204.923 eV/cell.

Unit cell a=8.173 b=8.173 c=8.173 alpha=136.06 beta=114.19 gamma=82.54
Atoms (fractional coordinates):
Mn  0.877  0.377  0.000
Mn  0.500  0.500  0.000
Mn  0.877  0.877  0.500
Mn  0.282  0.250  0.032
Mn  0.718  0.750  0.968
Mn  0.123  0.623  0.000
Mn  0.123  0.123  0.500
Mn  0.000  0.000  0.000
Ge  0.497  0.881  0.616
Ge  0.765  0.381  0.384
Ge  0.503  0.119  0.384
Ge  0.235  0.619  0.616
O  0.127  0.865  0.747
O  0.619  0.365  0.738
O  0.381  0.119  0.747
O  0.746  0.492  0.254
O  0.127  0.381  0.262
O  0.873  0.619  0.738
O  0.254  0.508  0.746
O  0.964  0.750  0.214
O  0.381  0.635  0.262
O  0.873  0.135  0.253
O  0.036  0.250  0.786
O  0.619  0.881  0.253
O  0.262  0.008  0.254
O  0.530  0.250  0.280
O  0.738  0.992  0.746
O  0.470  0.750  0.720